## SrSn2Pd4 (PBE)

Data for SrSn2Pd4 after structural relaxation.

Summary:
**Formation energy**: -0.590 eV per atom
**M_tot**: 0.00 μB per formula unit

Geometry as CIF:
```
data_SrSn2Pd4
_chemical_formula_sum 'Sr2 Sn4 Pd8'
_cell_length_a 8.255
_cell_length_b 8.255
_cell_length_c 4.227
_cell_angle_alpha 90.00
_cell_angle_beta 90.00
_cell_angle_gamma 90.00
_symmetry_space_group_name_H-M 'P 42/m n m'
_symmetry_Int_Tables_number 136
_symmetry_space_group_name_Hall '-P 4n 2n'
loop_
_atom_site_label
_atom_site_type_symbol
_atom_site_fract_x
_atom_site_fract_y
_atom_site_fract_z
Sr1 Sr 0.000 0.000 0.000
Sn1 Sn 0.223 0.223 0.500
Pd1 Pd 0.084 0.658 0.500
```